1.
{
  "formula": "K4Rb3LiI8",
  "functional": "GGA-PBE",
  "state": "relaxed",
  "spacegroup": "C2/m",
  "final_energy_ev_per_atom": -2.769,
  "crystal_system": "monoclinic",
  "raw_formation_energy_ev_per_atom": -1.418,
  "lattice": [[8.840, -5.067, 0.000], [8.840, 5.067, 0.000], [-5.775, 0.000, 8.296]],
  "species": ["K", "K", "K", "K", "Rb", "Rb", "Rb", "Li", "I", "I", "I", "I", "I", "I", "I", "I"],
  "frac_coords": [[0.000, 0.000, 0.000], [0.000, 0.500, 0.000], [0.500, 0.000, 0.000], [0.500, 0.500, 0.000], [0.000, 0.000, 0.500], [0.000, 0.500, 0.500], [0.500, 0.000, 0.500], [0.500, 0.500, 0.500], [0.241, 0.241, 0.233], [0.254, 0.254, 0.762], [0.277, 0.716, 0.270], [0.284, 0.723, 0.730], [0.716, 0.277, 0.270], [0.723, 0.284, 0.730], [0.746, 0.746, 0.238], [0.759, 0.759, 0.767]]
}



2.
{
  "formula": "KLiRuI2",
  "functional": "GGA-PBE",
  "state": "relaxed",
  "spacegroup": "P4/mmm",
  "final_energy_ev_per_atom": -2.928,
  "crystal_system": "tetragonal",
  "raw_formation_energy_ev_per_atom": 0.150,
  "lattice": [[5.617, 0.000, 0.000], [0.000, 5.617, 0.000], [0.000, 0.000, 4.810]],
  "species": ["K", "Li", "Ru", "I", "I"],
  "frac_coords": [[0.000, 0.000, 0.000], [0.500, 0.500, 0.500], [0.500, 0.500, 0.000], [0.000, 0.500, 0.500], [0.500, 0.000, 0.500]]
}



3.
{
  "formula": "KLi4S2I",
  "functional": "GGA-PBE",
  "state": "relaxed",
  "spacegroup": "P4/mmm",
  "final_energy_ev_per_atom": -3.505,
  "crystal_system": "tetragonal",
  "raw_formation_energy_ev_per_atom": -1.186,
  "lattice": [[4.217, 0.000, 0.000], [0.000, 4.217, 0.000], [0.000, 0.000, 10.392]],
  "species": ["K", "Li", "Li", "Li", "Li", "S", "S", "I"],
  "frac_coords": [[0.000, 0.000, 0.000], [0.000, 0.500, 0.301], [0.000, 0.500, 0.699], [0.500, 0.000, 0.301], [0.500, 0.000, 0.699], [0.500, 0.500, 0.202], [0.500, 0.500, 0.798], [0.000, 0.000, 0.500]]
}



4.
{
  "formula": "KLiSb2I",
  "functional": "GGA-PBE",
  "state": "relaxed",
  "spacegroup": "P4/mmm",
  "final_energy_ev_per_atom": -2.757,
  "crystal_system": "tetragonal",
  "raw_formation_energy_ev_per_atom": -0.195,
  "lattice": [[4.981, 0.000, 0.000], [0.000, 4.981, 0.000], [0.000, 0.000, 6.992]],
  "species": ["K", "Li", "Sb", "Sb", "I"],
  "frac_coords": [[0.000, 0.000, 0.000], [0.500, 0.500, 0.500], [0.000, 0.500, 0.500], [0.500, 0.000, 0.500], [0.500, 0.500, 0.000]]
}



5.
{
  "formula": "KLi2SbI6",
  "functional": "GGA-PBE",
  "state": "relaxed",
  "spacegroup": "R-3",
  "final_energy_ev_per_atom": -2.740,
  "crystal_system": "trigonal",
  "raw_formation_energy_ev_per_atom": -0.905,
  "lattice": [[3.771, 2.177, 8.530], [-3.771, 2.177, 8.530], [0.000, -4.355, 8.530]],
  "species": ["K", "Li", "Li", "Sb", "I", "I", "I", "I", "I", "I"],
  "frac_coords": [[0.000, 0.000, 0.000], [0.168, 0.168, 0.168], [0.832, 0.832, 0.832], [0.500, 0.500, 0.500], [0.096, 0.437, 0.767], [0.233, 0.904, 0.563], [0.437, 0.767, 0.096], [0.563, 0.233, 0.904], [0.767, 0.096, 0.437], [0.904, 0.563, 0.233]]
}



6.
{
  "formula": "K2LiSbI6",
  "functional": "GGA-PBE",
  "state": "relaxed",
  "spacegroup": "Fm-3m",
  "final_energy_ev_per_atom": -2.653,
  "crystal_system": "cubic",
  "raw_formation_energy_ev_per_atom": -0.900,
  "lattice": [[0.000, 5.975, 5.975], [5.975, 0.000, 5.975], [5.975, 5.975, 0.000]],
  "species": ["K", "K", "Li", "Sb", "I", "I", "I", "I", "I", "I"],
  "frac_coords": [[0.250, 0.250, 0.250], [0.750, 0.750, 0.750], [0.000, 0.000, 0.000], [0.500, 0.500, 0.500], [0.248, 0.248, 0.752], [0.248, 0.752, 0.248], [0.248, 0.752, 0.752], [0.752, 0.248, 0.248], [0.752, 0.248, 0.752], [0.752, 0.752, 0.248]]
}



7.
{
  "formula": "KLiSb2I",
  "functional": "GGA-PBE",
  "state": "relaxed",
  "spacegroup": "P4/mmm",
  "final_energy_ev_per_atom": -1.983,
  "crystal_system": "tetragonal",
  "raw_formation_energy_ev_per_atom": 0.578,
  "lattice": [[6.222, 0.000, 0.000], [0.000, 6.222, 0.000], [0.000, 0.000, 6.502]],
  "species": ["K", "Li", "Sb", "Sb", "I"],
  "frac_coords": [[0.000, 0.000, 0.000], [0.500, 0.500, 0.500], [0.000, 0.500, 0.000], [0.500, 0.000, 0.000], [0.000, 0.000, 0.500]]
}



8.
{
  "formula": "K2LiSbI6",
  "functional": "GGA-PBE",
  "state": "relaxed",
  "spacegroup": "R3",
  "final_energy_ev_per_atom": -2.704,
  "crystal_system": "trigonal",
  "raw_formation_energy_ev_per_atom": -0.951,
  "lattice": [[4.201, 2.425, 7.731], [-4.201, 2.425, 7.731], [0.000, -4.850, 7.731]],
  "species": ["K", "K", "Li", "Sb", "I", "I", "I", "I", "I", "I"],
  "frac_coords": [[0.000, 0.000, 0.000], [0.498, 0.498, 0.498], [0.285, 0.285, 0.285], [0.699, 0.699, 0.699], [0.032, 0.454, 0.821], [0.340, 0.929, 0.562], [0.454, 0.821, 0.032], [0.562, 0.340, 0.929], [0.821, 0.032, 0.454], [0.929, 0.562, 0.340]]
}



Q: What is the formula in the fourth record?
A: KLiSb2I